BaSr5Tl3 | PBE | relaxed

Unit cell a=7.832 b=10.250 c=10.248 alpha=120.01 beta=90.00 gamma=90.00
Sites, in units of the cell vectors:
Ba (0.000, 0.000, 0.000)
Ba (0.500, 0.000, 0.000)
Sr (0.000, 0.667, 0.333)
Sr (0.500, 0.333, 0.667)
Sr (0.000, 0.333, 0.667)
Sr (0.500, 0.667, 0.333)
Sr (0.750, 0.664, 0.664)
Sr (0.750, 0.000, 0.336)
Sr (0.750, 0.336, 0.000)
Sr (0.250, 0.336, 0.336)
Sr (0.250, 0.000, 0.664)
Sr (0.250, 0.664, 0.000)
Tl (0.750, 0.335, 0.335)
Tl (0.750, 0.000, 0.665)
Tl (0.750, 0.665, 0.000)
Tl (0.250, 0.665, 0.665)
Tl (0.250, 0.000, 0.335)
Tl (0.250, 0.335, 0.000)

Computed properties:
Fermi-level density of states, states/eV/cell: 31.1
DFT total energy, eV per atom: -2.196
ΔE_f, eV/atom: -0.260

TaSi2Mo | PBE | relaxed

Unit cell a=4.966 b=4.966 c=4.966 alpha=139.50 beta=130.35 gamma=65.92
Sites, in units of the cell vectors:
Mo (0.244, 0.744, 0.500)
Si (0.001, 0.001, 0.000)
Si (0.752, 0.252, 0.500)
Ta (0.503, 0.503, 0.000)

Computed properties:
Fermi-level density of states, states/eV/cell: 2.0
DFT total energy, eV per atom: -8.546
Formation energy without anion corrections, meV/atom: -164.0
ΔE to the lowest computed polymorph, meV per atom: 224

CaTb4Nd7 | PBE | relaxed

Unit cell a=7.366 b=9.747 c=9.088 alpha=81.05 beta=89.80 gamma=40.90
Sites, in units of the cell vectors:
Ca (0.000, 0.000, 0.000)
Tb (0.537, 0.719, 0.336)
Tb (0.463, 0.281, 0.664)
Tb (0.719, 0.780, 0.668)
Tb (0.281, 0.220, 0.332)
Nd (0.757, 0.501, 0.002)
Nd (0.243, 0.499, 0.998)
Nd (0.971, 0.284, 0.662)
Nd (0.029, 0.716, 0.338)
Nd (0.226, 0.774, 0.659)
Nd (0.500, 0.000, 0.000)
Nd (0.774, 0.226, 0.341)

Computed properties:
Fermi-level density of states, states/eV/cell: 16.2
DFT total energy, eV per atom: -4.468
ΔE_f, eV/atom: 0.024